No. 1
This record from Alexandria describes TiCdI2 after structural relaxation. The functional is PBE-GGA.

Unit cell a=7.6339 b=7.6339 c=7.6339 alpha=90.00 beta=90.00 gamma=90.00
Last column: nearest neighbours and their distance in Å.
Space group Fm-3m (No. 225)
Symmetry-distinct sites (fractional):
Ti 0.0000 0.0000 0.0000 (multiplicity 4)  8 I 3.31
Cd 0.0000 0.0000 0.5000 (multiplicity 4)  8 I 3.31
I 0.2500 0.2500 0.2500 (multiplicity 8)  4 Cd 3.31, 4 Ti 3.31

## Properties
Raw formation energy: 0.1180 eV per atom
Calculated density: 6.18 g/cm3
Crystal system: cubic

No. 2
This record from Alexandria describes TiCdI after structural relaxation. The functional is PBE-GGA.

Unit cell a=3.5520 b=3.5520 c=15.3229 alpha=90.00 beta=90.00 gamma=120.00
Last column: nearest neighbours and their distance in Å.
Space group P-6m2 (No. 187)
Symmetry-distinct sites (fractional):
Ti 0.0000 0.0000 0.0000 (multiplicity 1)  6 I 2.77
Ti 0.3333 0.6667 0.5000 (multiplicity 1)  6 Cd 2.91
Cd 0.0000 0.0000 0.3651 (multiplicity 2)  3 Ti 2.91
I 0.3333 0.6667 0.1219 (multiplicity 2)  3 Ti 2.77

## Properties
Raw formation energy: -0.0278 eV per atom
Calculated density: 5.70 g/cm3
Crystal system: hexagonal

No. 3
This record from Alexandria describes Y2TiCdI after structural relaxation. The functional is PBE-GGA.

Unit cell a=5.6337 b=5.6337 c=4.9472 alpha=90.00 beta=90.00 gamma=90.00
Last column: nearest neighbours and their distance in Å.
Space group P4/mmm (No. 123)
Symmetry-distinct sites (fractional):
Y 0.0000 0.5000 0.0000 (multiplicity 2)  2 I 2.82
Ti 0.0000 0.0000 0.5000 (multiplicity 1)  2 I 2.47
Cd 0.5000 0.5000 0.5000 (multiplicity 1)  8 Y 3.75, 4 Ti 3.98
I 0.0000 0.0000 0.0000 (multiplicity 1)  2 Ti 2.47

## Properties
Raw formation energy: 0.3960 eV per atom
Calculated density: 4.92 g/cm3
Crystal system: tetragonal

No. 4
This record from Alexandria describes TlCdI2 after structural relaxation. The functional is PBE-GGA.

Unit cell a=6.9171 b=6.9171 c=17.4762 alpha=90.00 beta=90.00 gamma=90.00
Last column: nearest neighbours and their distance in Å.
Space group I-42d (No. 122)
Symmetry-distinct sites (fractional):
Tl 0.0000 0.0000 0.0000 (multiplicity 4)  4 I 3.48
Cd 0.0000 0.0000 0.5000 (multiplicity 4)  4 I 3.11
I 0.1984 0.2500 0.6250 (multiplicity 8)  2 Cd 3.11

## Properties
Raw formation energy: -0.3349 eV per atom
Calculated density: 4.53 g/cm3
Crystal system: tetragonal

No. 5
This record from Alexandria describes Tl3Cd2I7 after structural relaxation. The functional is PBE-GGA.

Unit cell a=14.4870 b=15.2917 c=4.5535 alpha=90.00 beta=90.00 gamma=90.00
Last column: nearest neighbours and their distance in Å.
Space group Pbam (No. 55)
Symmetry-distinct sites (fractional):
Tl 0.0000 0.0000 0.0000 (multiplicity 2)  8 I 3.75-3.82
Tl 0.1086 0.3710 0.0000 (multiplicity 4)  6 I 3.40-3.72
Cd 0.2409 0.1217 0.5000 (multiplicity 4)  4 I 2.80-2.86
I 0.0000 0.5000 0.5000 (multiplicity 2)  4 Tl 3.40
I 0.0570 0.1872 0.5000 (multiplicity 4)  1 Cd 2.85
I 0.1671 0.6939 0.0000 (multiplicity 4)  2 Cd 2.86
I 0.2025 0.9423 0.5000 (multiplicity 4)  1 Cd 2.80

## Properties
Raw formation energy: -0.6198 eV per atom
Calculated density: 5.68 g/cm3
Crystal system: orthorhombic

No. 6
This record from Alexandria describes Tl3Cd2I7 after structural relaxation. The functional is PBE-GGA.

Unit cell a=5.9745 b=29.7481 c=5.9382 alpha=90.00 beta=90.00 gamma=90.00
Last column: nearest neighbours and their distance in Å.
Space group Cmmm (No. 65)
Symmetry-distinct sites (fractional):
Tl 0.0000 0.0000 0.0000 (multiplicity 2)  12 I 4.03-4.21
Tl 0.0000 0.1618 0.0000 (multiplicity 4)  4 I 3.63-3.64
Cd 0.0000 0.3950 0.5000 (multiplicity 4)  6 I 2.80-3.12
I 0.0000 0.0914 0.5000 (multiplicity 4)  2 Cd 3.01
I 0.0000 0.3009 0.5000 (multiplicity 4)  1 Cd 2.80
I 0.0000 0.4080 0.0000 (multiplicity 4)  2 Cd 2.99
I 0.0000 0.5000 0.5000 (multiplicity 2)  2 Cd 3.12

## Properties
Raw formation energy: -0.5133 eV per atom
Calculated density: 5.43 g/cm3
Crystal system: orthorhombic

No. 7
This record from Alexandria describes TlCdI4 after structural relaxation. The functional is PBE-GGA.

Unit cell a=20.3143 b=6.6909 c=9.3238 alpha=90.00 beta=106.48 gamma=90.00
Last column: nearest neighbours and their distance in Å.
Space group C2/m (No. 12)
Symmetry-distinct sites (fractional):
Tl 0.1883 0.0000 0.3011 (multiplicity 4)  5 I 3.05-3.37
Cd 0.1615 0.0000 0.7466 (multiplicity 4)  3 I 2.74-2.95
I 0.0650 0.0000 0.4433 (multiplicity 4)  1 Cd 2.95, 1 I 3.11, 1 Tl 3.15
I 0.0914 0.0000 0.9581 (multiplicity 4)  1 Cd 2.74
I 0.1714 0.5000 0.7570 (multiplicity 4)  1 Tl 3.05, 2 Cd 3.35
I 0.2074 0.5000 0.2931 (multiplicity 4)  1 Cd 2.79

## Properties
Raw formation energy: -0.4298 eV per atom
Calculated density: 4.51 g/cm3
Crystal system: monoclinic

No. 8
This record from Alexandria describes TlCd2I6 after structural relaxation. The functional is PBE-GGA.

Unit cell a=16.8231 b=16.3045 c=7.4868 alpha=90.00 beta=114.47 gamma=90.00
Last column: nearest neighbours and their distance in Å.
Space group C2/c (No. 15)
Symmetry-distinct sites (fractional):
Tl 0.0000 0.2256 0.2500 (multiplicity 4)  4 I 3.11-3.12
Cd 0.2308 0.4248 0.3494 (multiplicity 8)  4 I 2.82-2.86
I 0.1000 0.1151 0.6146 (multiplicity 8)  1 Cd 2.82, 1 Tl 3.12
I 0.1097 0.3188 0.0681 (multiplicity 8)  1 Cd 2.83, 1 Tl 3.11
I 0.2040 0.4115 0.6978 (multiplicity 8)  2 Cd 2.83-2.86

## Properties
Raw formation energy: -0.4771 eV per atom
Calculated density: 4.23 g/cm3
Crystal system: monoclinic

No. 9
This record from Alexandria describes TlCd2I6 after structural relaxation. The functional is PBE-GGA.

Unit cell a=15.1946 b=13.5259 c=7.9950 alpha=90.00 beta=99.67 gamma=90.00
Last column: nearest neighbours and their distance in Å.
Space group C2/c (No. 15)
Symmetry-distinct sites (fractional):
Tl 0.0000 0.1331 0.2500 (multiplicity 4)  6 I 3.19-3.46
Cd 0.2019 0.4226 0.2844 (multiplicity 8)  4 I 2.82-2.86
I 0.1101 0.0742 0.6386 (multiplicity 8)  1 Cd 2.82
I 0.1248 0.4150 0.5839 (multiplicity 8)  2 Cd 2.84-2.85
I 0.1540 0.2445 0.0977 (multiplicity 8)  1 Cd 2.86, 1 Tl 3.19

## Properties
Raw formation energy: -0.4815 eV per atom
Calculated density: 4.88 g/cm3
Crystal system: monoclinic

No. 10
This record from Alexandria describes Tl2CdI after structural relaxation. The functional is PBE-GGA.

Unit cell a=4.2281 b=4.2281 c=7.4513 alpha=90.00 beta=90.00 gamma=90.00
Last column: nearest neighbours and their distance in Å.
Space group P4/mmm (No. 123)
Symmetry-distinct sites (fractional):
Tl 0.0000 0.0000 0.2290 (multiplicity 2)  1 Tl 3.41, 4 Cd 3.44, 4 I 3.61
Cd 0.5000 0.5000 0.0000 (multiplicity 1)  8 Tl 3.44, 2 I 3.73
I 0.5000 0.5000 0.5000 (multiplicity 1)  8 Tl 3.61, 2 Cd 3.73

## Properties
Raw formation energy: -0.1674 eV per atom
Calculated density: 8.08 g/cm3
Crystal system: tetragonal

No. 11
This record from Alexandria describes TlCdI2 after structural relaxation. The functional is PBE-GGA.

Unit cell a=18.2336 b=6.3615 c=5.9388 alpha=90.00 beta=99.97 gamma=90.00
Last column: nearest neighbours and their distance in Å.
Space group C2/c (No. 15)
Symmetry-distinct sites (fractional):
Tl 0.2500 0.2500 0.0000 (multiplicity 4)  8 I 3.59-3.80
Cd 0.0000 0.0000 0.0000 (multiplicity 4)  2 Cd 2.97, 2 I 3.05
I 0.1371 0.2559 0.4418 (multiplicity 8)  1 Cd 3.05

## Properties
Raw formation energy: -0.3346 eV per atom
Calculated density: 5.59 g/cm3
Crystal system: monoclinic

No. 12
This record from Alexandria describes Tl4CdI5 after structural relaxation. The functional is PBE-GGA.

Unit cell a=11.0900 b=11.0900 c=6.9164 alpha=90.00 beta=90.00 gamma=90.00
Last column: nearest neighbours and their distance in Å.
Space group I4 (No. 79)
Symmetry-distinct sites (fractional):
Tl 0.0938 0.6974 0.0000 (multiplicity 8)  6 I 3.46-3.57
Cd 0.0000 0.0000 0.5009 (multiplicity 2)  6 I 3.37-3.46
I 0.0000 0.0000 0.0018 (multiplicity 2)  2 Cd 3.45-3.46, 4 Tl 3.51
I 0.0997 0.7132 0.5001 (multiplicity 8)  1 Cd 3.37, 5 Tl 3.46-3.57

## Properties
Raw formation energy: -0.5439 eV per atom
Calculated density: 6.11 g/cm3
Crystal system: tetragonal